An optimized crystal structure of NaTeAs2, computed with GGA-PBE. Values from VASP.

Geometry as Quantum ESPRESSO input:
```
&SYSTEM
  ibrav = 0, nat = 8, ntyp = 3
/
ATOMIC_SPECIES
Na 22.99 Na.upf
Te 127.60 Te.upf
As 74.92 As.upf
ATOMIC_POSITIONS angstrom
Na 0.000 0.000 0.000
Na 0.000 3.666 2.390
Te 3.666 0.000 2.390
Te 0.000 0.000 4.780
As 1.833 -1.580 3.585
As 2.085 1.833 1.195
As 1.833 5.246 -1.195
As 1.580 1.833 5.975
CELL_PARAMETERS angstrom
-3.666 3.666 4.780
3.666 -3.666 4.780
3.666 3.666 -4.780
```

Values from the calculation:
M_tot	0.00	μB/cell
energy	-12.9	eV per formula unit
crystal system	tetragonal



An optimized crystal structure of Ba2RhSe, computed with GGA-PBE. Values from VASP.

Geometry as Quantum ESPRESSO input:
```
&SYSTEM
  ibrav = 0, nat = 4, ntyp = 3
/
ATOMIC_SPECIES
Ba 137.33 Ba.upf
Rh 102.91 Rh.upf
Se 78.96 Se.upf
ATOMIC_POSITIONS angstrom
Ba 0.000 0.000 1.953
Ba 0.000 0.000 5.911
Rh 1.954 1.977 3.932
Se 1.954 1.977 0.000
CELL_PARAMETERS angstrom
3.909 0.000 0.000
0.000 3.953 0.000
0.000 0.000 7.864
```

Values from the calculation:
M_tot	0.30	μB/cell
energy	-17.7	eV per formula unit
crystal system	orthorhombic



An optimized crystal structure of La5In4Br, computed with GGA-PBE. Values from VASP.

Geometry as Quantum ESPRESSO input:
```
&SYSTEM
  ibrav = 0, nat = 10, ntyp = 3
/
ATOMIC_SPECIES
La 138.91 La.upf
In 114.82 In.upf
Br 79.90 Br.upf
ATOMIC_POSITIONS angstrom
La 0.000 0.000 0.000
La 0.000 0.000 4.473
La 0.000 0.000 8.855
La 0.000 0.000 13.373
La 0.000 0.000 17.756
In 1.841 1.841 2.237
In 1.841 1.841 6.752
In 1.841 1.841 15.476
In 1.841 1.841 19.991
Br 1.841 1.841 11.114
CELL_PARAMETERS angstrom
3.683 0.000 0.000
0.000 3.683 0.000
0.000 0.000 22.228
```

Values from the calculation:
M_tot	0.00	μB/cell
energy	-43.8	eV per formula unit
crystal system	tetragonal



An optimized crystal structure of CaSb2Se, computed with GGA-PBE. Values from VASP.

Geometry as Quantum ESPRESSO input:
```
&SYSTEM
  ibrav = 0, nat = 4, ntyp = 3
/
ATOMIC_SPECIES
Ca 40.08 Ca.upf
Sb 121.76 Sb.upf
Se 78.96 Se.upf
ATOMIC_POSITIONS angstrom
Ca 0.000 0.000 0.000
Sb 0.000 0.000 3.942
Sb 0.000 2.517 2.363
Se 2.180 1.259 6.108
CELL_PARAMETERS angstrom
4.360 0.000 0.000
-2.180 3.776 0.000
0.000 0.000 7.443
```

Values from the calculation:
M_tot	0.00	μB/cell
energy	-16.8	eV per formula unit
crystal system	trigonal



An optimized crystal structure of Ba2AlZn, computed with GGA-PBE. Values from VASP.

Geometry as Quantum ESPRESSO input:
```
&SYSTEM
  ibrav = 0, nat = 4, ntyp = 3
/
ATOMIC_SPECIES
Ba 137.33 Ba.upf
Al 26.98 Al.upf
Zn 65.41 Zn.upf
ATOMIC_POSITIONS angstrom
Ba 0.000 0.000 0.000
Ba 0.000 0.000 4.812
Al 0.000 0.000 11.496
Zn 0.000 0.000 20.598
CELL_PARAMETERS angstrom
2.273 1.312 9.097
-2.273 1.312 9.097
0.000 -2.624 9.097
```

Values from the calculation:
M_tot	0.00	μB/cell
energy	-9.5	eV per formula unit
crystal system	trigonal



An optimized crystal structure of LiScSnAu, computed with GGA-PBE. Values from VASP.

Geometry as Quantum ESPRESSO input:
```
&SYSTEM
  ibrav = 0, nat = 4, ntyp = 4
/
ATOMIC_SPECIES
Li 6.94 Li.upf
Sc 44.96 Sc.upf
Sn 118.71 Sn.upf
Au 196.97 Au.upf
ATOMIC_POSITIONS angstrom
Li 0.000 0.000 0.000
Sc 3.386 3.386 3.386
Sn 5.079 5.079 5.079
Au 1.693 1.693 1.693
CELL_PARAMETERS angstrom
0.000 3.386 3.386
3.386 0.000 3.386
3.386 3.386 0.000
```

Values from the calculation:
M_tot	0.00	μB/cell
energy	-17.9	eV per formula unit
crystal system	cubic



An optimized crystal structure of SrZnAsBr2, computed with GGA-PBE. Values from VASP.

Geometry as Quantum ESPRESSO input:
```
&SYSTEM
  ibrav = 0, nat = 5, ntyp = 4
/
ATOMIC_SPECIES
Sr 87.62 Sr.upf
Zn 65.41 Zn.upf
As 74.92 As.upf
Br 79.90 Br.upf
ATOMIC_POSITIONS angstrom
Sr 0.000 0.000 0.000
Zn 2.939 2.939 3.270
As 0.000 0.000 3.270
Br 0.000 2.939 0.000
Br 2.939 0.000 0.000
CELL_PARAMETERS angstrom
5.878 0.000 0.000
0.000 5.878 0.000
0.000 0.000 6.541
```

Values from the calculation:
M_tot	2.30	μB/cell
energy	-12.6	eV per formula unit
crystal system	tetragonal



An optimized crystal structure of La3TaPd, computed with GGA-PBE. Values from VASP.

Geometry as Quantum ESPRESSO input:
```
&SYSTEM
  ibrav = 0, nat = 5, ntyp = 3
/
ATOMIC_SPECIES
La 138.91 La.upf
Ta 180.95 Ta.upf
Pd 106.42 Pd.upf
ATOMIC_POSITIONS angstrom
La 0.000 0.000 2.787
La 0.000 2.787 0.000
La 2.787 0.000 0.000
Ta 0.000 0.000 0.000
Pd 2.787 2.787 2.787
CELL_PARAMETERS angstrom
5.575 0.000 0.000
0.000 5.575 0.000
0.000 0.000 5.575
```

Values from the calculation:
M_tot	0.00	μB/cell
energy	-29.3	eV per formula unit
crystal system	cubic



An optimized crystal structure of PmReSi3Tc, computed with GGA-PBE. Values from VASP.

Geometry as Quantum ESPRESSO input:
```
&SYSTEM
  ibrav = 0, nat = 12, ntyp = 4
/
ATOMIC_SPECIES
Pm 145.00 Pm.upf
Re 186.21 Re.upf
Si 28.09 Si.upf
Tc 98.00 Tc.upf
ATOMIC_POSITIONS angstrom
Pm 3.845 2.758 4.219
Pm 3.845 -2.758 1.406
Re 3.845 4.995 1.406
Re 3.845 -4.995 4.219
Si 1.930 0.000 0.000
Si 1.930 0.000 2.813
Si 3.845 2.731 1.406
Si 3.845 -2.731 4.219
Si 5.761 0.000 0.000
Si 5.761 0.000 2.813
Tc 3.845 0.489 1.406
Tc 3.845 -0.489 4.219
CELL_PARAMETERS angstrom
3.845 -5.503 0.000
3.845 5.503 0.000
0.000 0.000 5.625
```

Values from the calculation:
M_tot	0.00	μB/cell
energy	-45.5	eV per formula unit
crystal system	orthorhombic



An optimized crystal structure of CrSi2Ru, computed with GGA-PBE. Values from VASP.

Geometry as Quantum ESPRESSO input:
```
&SYSTEM
  ibrav = 0, nat = 4, ntyp = 3
/
ATOMIC_SPECIES
Cr 52.00 Cr.upf
Si 28.09 Si.upf
Ru 101.07 Ru.upf
ATOMIC_POSITIONS angstrom
Cr 0.000 0.000 0.000
Si 1.467 0.000 1.864
Si 1.467 0.000 5.736
Ru 0.000 0.000 3.800
CELL_PARAMETERS angstrom
1.467 -2.336 0.000
1.467 2.336 0.000
0.000 0.000 7.599
```

Values from the calculation:
M_tot	0.78	μB/cell
energy	-30.1	eV per formula unit
crystal system	orthorhombic



An optimized crystal structure of MgScSn2, computed with GGA-PBE. Values from VASP.

Geometry as Quantum ESPRESSO input:
```
&SYSTEM
  ibrav = 0, nat = 4, ntyp = 3
/
ATOMIC_SPECIES
Mg 24.30 Mg.upf
Sc 44.96 Sc.upf
Sn 118.71 Sn.upf
ATOMIC_POSITIONS angstrom
Mg 0.000 0.000 0.000
Sc 0.000 0.000 14.133
Sn 0.000 0.000 7.078
Sn 0.000 0.000 21.189
CELL_PARAMETERS angstrom
1.707 0.986 9.422
-1.707 0.986 9.422
0.000 -1.972 9.422
```

Values from the calculation:
M_tot	0.00	μB/cell
energy	-17.1	eV per formula unit
crystal system	trigonal



An optimized crystal structure of Sr2CrOsPb, computed with GGA-PBE. Values from VASP.

Geometry as Quantum ESPRESSO input:
```
&SYSTEM
  ibrav = 0, nat = 5, ntyp = 4
/
ATOMIC_SPECIES
Sr 87.62 Sr.upf
Cr 52.00 Cr.upf
Os 190.23 Os.upf
Pb 207.20 Pb.upf
ATOMIC_POSITIONS angstrom
Sr 0.000 2.908 0.000
Sr 2.908 0.000 0.000
Cr 0.000 0.000 2.625
Os 2.908 2.908 0.000
Pb 2.908 2.908 2.625
CELL_PARAMETERS angstrom
5.815 0.000 0.000
0.000 5.815 0.000
0.000 0.000 5.249
```

Values from the calculation:
M_tot	5.32	μB/cell
energy	-24.4	eV per formula unit
crystal system	tetragonal



An optimized crystal structure of Cd2Ag2Br7, computed with GGA-PBE. Values from VASP.

Geometry as Quantum ESPRESSO input:
```
&SYSTEM
  ibrav = 0, nat = 11, ntyp = 3
/
ATOMIC_SPECIES
Cd 112.41 Cd.upf
Ag 107.87 Ag.upf
Br 79.90 Br.upf
ATOMIC_POSITIONS angstrom
Cd 3.787 4.217 0.000
Cd 3.787 -4.217 0.000
Ag 1.801 0.000 2.524
Ag 5.696 0.000 5.893
Br 2.088 2.536 1.709
Br 0.691 0.000 6.708
Br 2.088 -2.536 1.709
Br 3.749 0.000 4.209
Br 5.409 2.536 6.709
Br 6.806 0.000 1.710
Br 5.409 -2.536 6.709
CELL_PARAMETERS angstrom
3.787 -6.383 0.000
3.787 6.383 0.000
-0.078 0.000 8.418
```

Values from the calculation:
M_tot	0.00	μB/cell
energy	-24.9	eV per formula unit
crystal system	monoclinic



An optimized crystal structure of K2ZnAsO4, computed with GGA-PBE. Values from VASP.

Geometry as Quantum ESPRESSO input:
```
&SYSTEM
  ibrav = 0, nat = 16, ntyp = 4
/
ATOMIC_SPECIES
K 39.10 K.upf
Zn 65.41 Zn.upf
As 74.92 As.upf
O 16.00 O.upf
ATOMIC_POSITIONS angstrom
K 2.012 4.607 1.093
K 3.353 7.679 6.183
K 2.012 4.607 14.178
K 3.353 7.679 19.268
Zn 0.671 1.536 2.545
Zn 4.694 10.751 17.816
As 2.012 4.607 7.635
As 3.353 7.679 12.726
O 3.190 3.549 6.763
O 3.190 5.666 8.508
O 4.531 6.621 13.598
O 4.531 8.738 11.853
O 0.834 3.549 8.508
O 0.834 5.666 6.763
O 2.175 6.621 11.853
O 2.175 8.738 13.598
CELL_PARAMETERS angstrom
0.000 6.143 10.181
2.682 0.000 10.181
2.682 6.143 0.000
```

Values from the calculation:
M_tot	0.00	μB/cell
energy	-38.0	eV per formula unit
crystal system	orthorhombic



An optimized crystal structure of SmHo2Tm4, computed with GGA-PBE. Values from VASP.

Geometry as Quantum ESPRESSO input:
```
&SYSTEM
  ibrav = 0, nat = 14, ntyp = 3
/
ATOMIC_SPECIES
Sm 150.36 Sm.upf
Ho 164.93 Ho.upf
Tm 168.93 Tm.upf
ATOMIC_POSITIONS angstrom
Sm 0.000 0.000 0.000
Sm 2.951 1.062 2.592
Ho 5.131 4.852 7.245
Ho 3.189 4.450 1.301
Ho 8.222 3.834 4.665
Ho 7.938 0.429 5.949
Tm 5.460 5.525 3.891
Tm 5.554 1.531 8.511
Tm 5.038 2.111 5.214
Tm 7.943 6.572 6.669
Tm 6.127 6.107 0.585
Tm 6.128 2.792 2.018
Tm 8.342 3.164 8.029
Tm 8.614 7.150 3.384
CELL_PARAMETERS angstrom
5.973 0.000 0.000
2.950 7.827 0.000
2.868 -0.218 9.303
```

Values from the calculation:
M_tot	0.00	μB/cell
energy	-31.2	eV per formula unit
crystal system	triclinic



An optimized crystal structure of Ge2Pb2I, computed with GGA-PBE. Values from VASP.

Geometry as Quantum ESPRESSO input:
```
&SYSTEM
  ibrav = 0, nat = 10, ntyp = 3
/
ATOMIC_SPECIES
Ge 72.64 Ge.upf
Pb 207.20 Pb.upf
I 126.90 I.upf
ATOMIC_POSITIONS angstrom
Ge 0.988 3.382 0.000
Ge 3.382 7.752 0.000
Ge 5.357 0.988 0.000
Ge 7.752 5.357 0.000
Pb 1.471 5.840 1.878
Pb 2.899 1.471 1.878
Pb 5.840 7.268 1.878
Pb 7.268 2.899 1.878
I 0.000 0.000 0.000
I 4.370 4.370 0.000
CELL_PARAMETERS angstrom
8.739 0.000 0.000
0.000 8.739 0.000
0.000 0.000 3.756
```

Values from the calculation:
M_tot	0.00	μB/cell
energy	-17.3	eV per formula unit
crystal system	tetragonal



An optimized crystal structure of Tm3SnPb2, computed with GGA-PBE. Values from VASP.

Geometry as Quantum ESPRESSO input:
```
&SYSTEM
  ibrav = 0, nat = 12, ntyp = 3
/
ATOMIC_SPECIES
Tm 168.93 Tm.upf
Sn 118.71 Sn.upf
Pb 207.20 Pb.upf
ATOMIC_POSITIONS angstrom
Tm 7.473 2.392 4.632
Tm 5.134 0.740 2.536
Tm 4.543 -0.740 5.625
Tm 10.993 0.740 0.552
Tm 10.402 -0.740 3.640
Tm 8.064 -2.392 1.544
Sn 8.064 0.721 1.544
Sn 7.473 -0.721 4.632
Pb 2.696 0.702 0.485
Pb 2.105 -0.702 3.573
Pb 13.431 0.702 2.604
Pb 12.840 -0.702 5.692
CELL_PARAMETERS angstrom
8.359 -3.146 0.000
8.359 3.146 0.000
-1.182 0.000 6.176
```

Values from the calculation:
M_tot	0.00	μB/cell
energy	-27.7	eV per formula unit
crystal system	monoclinic



An optimized crystal structure of Pa2TeO, computed with GGA-PBE. Values from VASP.

Geometry as Quantum ESPRESSO input:
```
&SYSTEM
  ibrav = 0, nat = 4, ntyp = 3
/
ATOMIC_SPECIES
Pa 231.04 Pa.upf
Te 127.60 Te.upf
O 16.00 O.upf
ATOMIC_POSITIONS angstrom
Pa 0.000 0.000 4.849
Pa 0.000 0.000 16.538
Te 0.000 0.000 0.000
O 0.000 0.000 10.694
CELL_PARAMETERS angstrom
1.852 1.069 7.129
-1.852 1.069 7.129
0.000 -2.139 7.129
```

Values from the calculation:
M_tot	0.07	μB/cell
energy	-33.0	eV per formula unit
crystal system	trigonal



An optimized crystal structure of Nd4Ho3Tm2, computed with GGA-PBE. Values from VASP.

Geometry as Quantum ESPRESSO input:
```
&SYSTEM
  ibrav = 0, nat = 18, ntyp = 3
/
ATOMIC_SPECIES
Nd 144.24 Nd.upf
Ho 164.93 Ho.upf
Tm 168.93 Tm.upf
ATOMIC_POSITIONS angstrom
Nd 6.580 4.526 5.694
Nd 4.507 1.301 0.677
Nd 9.038 4.526 3.262
Nd 4.129 -1.301 3.663
Nd 11.868 1.301 2.308
Nd 6.958 -4.526 2.709
Nd 11.489 -1.301 5.294
Nd 9.417 -4.526 0.277
Ho 2.408 1.769 3.461
Ho 2.787 -1.769 0.475
Ho 8.188 1.744 1.493
Ho 7.809 -1.744 4.478
Ho 13.210 1.769 5.496
Ho 13.589 -1.769 2.510
Tm 6.142 1.247 4.184
Tm 9.476 1.247 4.772
Tm 6.521 -1.247 1.198
Tm 9.854 -1.247 1.787
CELL_PARAMETERS angstrom
8.377 -5.852 0.000
8.377 5.852 0.000
-0.757 0.000 5.971
```

Values from the calculation:
M_tot	0.00	μB/cell
energy	-40.9	eV per formula unit
crystal system	monoclinic



An optimized crystal structure of SrIn3W, computed with GGA-PBE. Values from VASP.

Geometry as Quantum ESPRESSO input:
```
&SYSTEM
  ibrav = 0, nat = 5, ntyp = 3
/
ATOMIC_SPECIES
Sr 87.62 Sr.upf
In 114.82 In.upf
W 183.84 W.upf
ATOMIC_POSITIONS angstrom
Sr 0.000 0.000 0.000
In 0.000 2.662 2.662
In 2.662 0.000 2.662
In 2.662 2.662 0.000
W 2.662 2.662 2.662
CELL_PARAMETERS angstrom
5.323 0.000 0.000
0.000 5.323 0.000
0.000 0.000 5.323
```

Values from the calculation:
M_tot	0.00	μB/cell
energy	-21.9	eV per formula unit
crystal system	cubic